[1]
Compound: CuSnPt
Source: the Alexandria database
Functional: GGA-PBE
Structure: relaxed

POSCAR file:
```
CuSnPt
1.0
-1.4684 -2.9042 -0.6020
2.9056 -1.5434 0.3582
-2.5191 1.1056 9.9082
Cu Pt Sn
2 2 2
direct
0.2793 0.2793 0.5585
0.7207 0.7207 0.4415
0.1475 0.1475 0.2950
0.8525 0.8525 0.7050
0.5749 0.5749 0.1498
0.4251 0.4251 0.8502
```

Output
Energy relative to the elements, eV per atom: -0.18
Crystal system: tetragonal
Calculated volume, Å³ per atom: 18.3
VASP energy, eV/atom: -4.8969
ΔE to the lowest computed polymorph, kcal/mol of atoms: 2.27
Symmetry: No. 139

---

[2]
Compound: RbTbPaS4
Source: the Alexandria database
Functional: GGA-PBE
Structure: relaxed

POSCAR file:
```
RbTbPaS4
1.0
-5.2481 -2.1424 -6.3672
-2.3241 -1.3309 8.0702
0.4617 7.9370 -3.0511
Rb Tb Pa S
2 2 2 8
direct
0.8769 0.7538 0.1269
0.1231 0.2462 0.8731
0.5000 0.0000 0.5000
0.5000 0.0000 0.0000
0.5000 0.5000 0.5000
0.0000 0.5000 0.5000
0.7314 0.4629 0.6861
0.3155 0.0489 0.2745
0.7334 0.0489 0.2745
0.7314 0.4629 0.2768
0.2686 0.5371 0.7232
0.6845 0.9511 0.7255
0.2666 0.9511 0.7255
0.2686 0.5371 0.3139
```

Output
Crystal system: orthorhombic
Calculated volume, Å³ per atom: 31.1
Formation energy without anion corrections, meV/atom: -1674.9
VASP energy, eV/atom: -6.1897
Symmetry: No. 74

---

[3]
Compound: RbLi2Sn4
Source: the Alexandria database
Functional: GGA-PBE
Structure: relaxed

POSCAR file:
```
RbLi2Sn4
1.0
3.3963 0.0000 0.0000
0.0000 10.7472 0.0000
0.0000 0.0000 10.7472
Rb Li Sn
2 4 8
direct
0.5000 0.0000 0.0000
0.0000 0.5000 0.5000
0.0000 0.2465 0.7535
0.0000 0.7535 0.2465
0.5000 0.7465 0.7465
0.5000 0.2535 0.2535
0.0000 0.0242 0.3203
0.0000 0.9758 0.6797
0.5000 0.1797 0.5242
0.5000 0.8203 0.4758
0.5000 0.4758 0.8203
0.5000 0.5242 0.1797
0.0000 0.3203 0.0242
0.0000 0.6797 0.9758
```

Output
Energy relative to the elements, eV per atom: -0.12
Crystal system: tetragonal
Calculated volume, Å³ per atom: 28.0
VASP energy, eV/atom: -3.0892
Symmetry: No. 136

---

[4]
Compound: DyTmTl
Source: the Alexandria database
Functional: GGA-PBE
Structure: relaxed

POSCAR file:
```
DyTmTl
1.0
5.1489 0.0000 0.0000
2.5744 4.4591 0.0000
2.5744 1.4864 4.2041
Tl Tm Dy
1 1 1
direct
0.2500 0.2500 0.2500
0.5000 0.5000 0.5000
0.0000 0.0000 0.0000
```

Output
Energy relative to the elements, eV per atom: -0.03
Crystal system: cubic
Calculated volume, Å³ per atom: 32.2
VASP energy, eV/atom: -3.8424
ΔE to the lowest computed polymorph, kcal/mol of atoms: 5.11
Symmetry: No. 216